The following is a DFT calculation (PBE) of crystalline TeP at its relaxed geometry.

Lattice parameters (Å, degrees): 3.484 3.484 3.484 90.00 90.00 90.00
Fractional coordinates of all 2 atoms:
Te  0.000  0.000  0.000
P  0.500  0.500  0.500

Computed properties:
SG   Pm-3m
E_form (uncorrected)   1.4 eV per formula unit
Total magnetic moment   0.000 μB per cell



The following is a DFT calculation (PBE) of crystalline Rb3SrIn3I8 at its relaxed geometry.

Lattice parameters (Å, degrees): 10.367 10.367 10.367 58.50 58.50 58.50
Fractional coordinates of all 15 atoms:
Rb  0.000  0.500  0.500
Rb  0.500  0.000  0.500
Rb  0.500  0.500  0.000
Sr  0.500  0.500  0.500
In  0.000  0.000  0.500
In  0.000  0.500  0.000
In  0.500  0.000  0.000
I  0.245  0.245  0.245
I  0.261  0.729  0.729
I  0.271  0.271  0.739
I  0.271  0.739  0.271
I  0.729  0.261  0.729
I  0.729  0.729  0.261
I  0.739  0.271  0.271
I  0.755  0.755  0.755

Computed properties:
SG   R-3m
E_form (uncorrected)   -16.8 eV per formula unit
Total magnetic moment   0.000 μB per cell



The following is a DFT calculation (PBE) of crystalline Ba2Ga3Ag4Sn at its relaxed geometry.

Lattice parameters (Å, degrees): 4.725 4.725 11.177 90.00 90.00 90.00
Fractional coordinates of all 10 atoms:
Ba  0.000  0.500  0.245
Ba  0.500  0.000  0.755
Ga  0.000  0.500  0.884
Ga  0.500  0.000  0.116
Ga  0.500  0.500  0.500
Ag  0.000  0.000  0.000
Ag  0.000  0.500  0.641
Ag  0.500  0.000  0.359
Ag  0.500  0.500  0.000
Sn  0.000  0.000  0.500

Computed properties:
SG   P-4m2
Total magnetic moment   0.000 μB per cell
Energy of formation   -0.3058 eV/atom



The following is a DFT calculation (PBE) of crystalline Ce15Ga4Pb at its relaxed geometry.

Lattice parameters (Å, degrees): 4.686 4.686 23.355 90.00 90.00 90.00
Fractional coordinates of all 20 atoms:
Ce  0.000  0.000  0.000
Ce  0.000  0.000  0.207
Ce  0.000  0.000  0.402
Ce  0.000  0.000  0.598
Ce  0.000  0.000  0.793
Ce  0.000  0.500  0.108
Ce  0.000  0.500  0.303
Ce  0.000  0.500  0.500
Ce  0.000  0.500  0.697
Ce  0.000  0.500  0.892
Ce  0.500  0.000  0.108
Ce  0.500  0.000  0.303
Ce  0.500  0.000  0.500
Ce  0.500  0.000  0.697
Ce  0.500  0.000  0.892
Ga  0.500  0.500  0.205
Ga  0.500  0.500  0.402
Ga  0.500  0.500  0.598
Ga  0.500  0.500  0.795
Pb  0.500  0.500  0.000

Computed properties:
SG   P4/mmm
Total magnetic moment   12.817 μB per cell
Energy of formation   -0.2473 eV/atom



The following is a DFT calculation (PBE) of crystalline AlGaPb2 at its relaxed geometry.

Lattice parameters (Å, degrees): 7.412 7.412 7.412 90.00 90.00 90.00
Fractional coordinates of all 16 atoms:
Al  0.000  0.000  0.000
Al  0.000  0.500  0.500
Al  0.500  0.000  0.500
Al  0.500  0.500  0.000
Ga  0.000  0.000  0.500
Ga  0.000  0.500  0.000
Ga  0.500  0.000  0.000
Ga  0.500  0.500  0.500
Pb  0.250  0.250  0.250
Pb  0.250  0.250  0.750
Pb  0.250  0.750  0.250
Pb  0.250  0.750  0.750
Pb  0.750  0.250  0.250
Pb  0.750  0.250  0.750
Pb  0.750  0.750  0.250
Pb  0.750  0.750  0.750

Computed properties:
Polymorph energy (0 for the lowest one)   4 meV per atom
SG   Fm-3m
Total magnetic moment   0.000 μB per cell
Energy of formation   0.1747 eV/atom



The following is a DFT calculation (PBE) of crystalline NpU2S at its relaxed geometry.

Lattice parameters (Å, degrees): 3.348 3.348 26.065 90.00 90.00 120.00
Fractional coordinates of all 12 atoms:
Np  0.000  0.000  0.000
Np  0.333  0.667  0.667
Np  0.667  0.333  0.333
U  0.000  0.000  0.240
U  0.000  0.000  0.760
U  0.333  0.667  0.427
U  0.333  0.667  0.907
U  0.667  0.333  0.093
U  0.667  0.333  0.573
S  0.000  0.000  0.500
S  0.333  0.667  0.167
S  0.667  0.333  0.833

Computed properties:
SG   R-3m
E_form (uncorrected)   -0.4 eV per formula unit
Total magnetic moment   17.505 μB per cell



no.,theoretical density (g/cm3)
1,6.23
2,3.72
3,6.88
4,8.38
5,8.34
6,14.67